1.
Computed, not measured: a relaxed structure of Dy2CdSn2Rh5 at the PBE level of DFT.

Unit cell a=10.1005 b=10.1005 c=3.7586 alpha=90.00 beta=90.00 gamma=90.00
Last column: nearest neighbours and their distance in Å.
Element x y z (fractional)
Dy  0.1706  0.3294  0.0000  3 Sn 2.87-3.05, 2 Rh 3.08
Dy  0.3294  0.8294  0.0000  3 Sn 2.87-3.05, 2 Rh 3.08
Dy  0.6706  0.1706  0.0000  3 Sn 2.87-3.05, 2 Rh 3.08
Dy  0.8294  0.6706  0.0000  3 Sn 2.87-3.05, 2 Rh 3.08
Cd  0.0000  0.0000  0.0000  8 Rh 2.85
Cd  0.5000  0.5000  0.0000  8 Rh 2.85
Sn  0.1282  0.6282  0.0000  6 Rh 2.62-2.63, 1 Dy 2.87
Sn  0.3718  0.1282  0.0000  6 Rh 2.62-2.63, 1 Dy 2.87
Sn  0.6282  0.8718  0.0000  6 Rh 2.62-2.63, 1 Dy 2.87
Sn  0.8718  0.3718  0.0000  6 Rh 2.62-2.63, 1 Dy 2.87
Rh  0.0000  0.5000  0.5000  4 Sn 2.62
Rh  0.0621  0.7976  0.5000  2 Sn 2.63, 2 Cd 2.85
Rh  0.2024  0.0621  0.5000  2 Sn 2.63, 2 Cd 2.85
Rh  0.2976  0.5621  0.5000  2 Sn 2.63, 2 Cd 2.85
Rh  0.4379  0.2976  0.5000  2 Sn 2.63, 2 Cd 2.85
Rh  0.5000  0.0000  0.5000  4 Sn 2.62
Rh  0.5621  0.7024  0.5000  2 Sn 2.63, 2 Cd 2.85
Rh  0.7024  0.4379  0.5000  2 Sn 2.63, 2 Cd 2.85
Rh  0.7976  0.9379  0.5000  2 Sn 2.63, 2 Cd 2.85
Rh  0.9379  0.2024  0.5000  2 Sn 2.63, 2 Cd 2.85

Formation energy, meV/atom: -528
Symmetry: P4/mbm
Total magnetic moment, μB per formula unit: 0.00


2.
Computed, not measured: a relaxed structure of SrDyCdRh at the PBE level of DFT.

Unit cell a=5.2060 b=5.2060 c=5.2060 alpha=60.00 beta=60.00 gamma=60.00
Last column: nearest neighbours and their distance in Å.
Element x y z (fractional)
Sr  0.0000  0.0000  0.0000  4 Rh 3.19, 4 Cd 3.19
Dy  0.5000  0.5000  0.5000  4 Rh 3.19, 4 Cd 3.19
Cd  0.2500  0.2500  0.2500  4 Dy 3.19, 4 Sr 3.19
Rh  0.7500  0.7500  0.7500  4 Dy 3.19, 4 Sr 3.19

Formation energy, meV/atom: -284
Symmetry: F-43m
Total magnetic moment, μB per formula unit: 0.00


3.
Computed, not measured: a relaxed structure of DyThCdRh at the PBE level of DFT.

Unit cell a=5.1597 b=5.1597 c=5.1597 alpha=60.00 beta=60.00 gamma=60.00
Last column: nearest neighbours and their distance in Å.
Element x y z (fractional)
Dy  0.0000  0.0000  0.0000  4 Cd 3.16, 4 Rh 3.16
Th  0.5000  0.5000  0.5000  4 Rh 3.16, 4 Cd 3.16
Cd  0.2500  0.2500  0.2500  4 Th 3.16, 4 Dy 3.16
Rh  0.7500  0.7500  0.7500  4 Th 3.16, 4 Dy 3.16

Formation energy, meV/atom: -393
Symmetry: F-43m
Total magnetic moment, μB per formula unit: 0.00


4.
Computed, not measured: a relaxed structure of DyTlCdRh at the PBE level of DFT.

Unit cell a=4.9593 b=4.9593 c=4.9593 alpha=60.00 beta=60.00 gamma=60.00
Last column: nearest neighbours and their distance in Å.
Element x y z (fractional)
Dy  0.0000  0.0000  0.0000  4 Tl 3.04, 4 Rh 3.04
Tl  0.7500  0.7500  0.7500  4 Cd 3.04, 4 Dy 3.04
Cd  0.5000  0.5000  0.5000  4 Tl 3.04, 4 Rh 3.04
Rh  0.2500  0.2500  0.2500  4 Cd 3.04, 4 Dy 3.04

Formation energy, meV/atom: -245
Symmetry: F-43m
Total magnetic moment, μB per formula unit: 0.00


5.
Computed, not measured: a relaxed structure of DyYCdRh at the PBE level of DFT.

Unit cell a=5.0595 b=5.0595 c=5.0595 alpha=60.00 beta=60.00 gamma=60.00
Last column: nearest neighbours and their distance in Å.
Element x y z (fractional)
Dy  0.0000  0.0000  0.0000  4 Cd 3.10, 4 Rh 3.10
Y  0.5000  0.5000  0.5000  4 Cd 3.10, 4 Rh 3.10
Cd  0.7500  0.7500  0.7500  4 Dy 3.10, 4 Y 3.10
Rh  0.2500  0.2500  0.2500  4 Dy 3.10, 4 Y 3.10

Energy relative to the lowest polymorph listed for this composition, kcal/mol of atoms: 1.88
Formation energy, meV/atom: -534
Symmetry: F-43m
Total magnetic moment, μB per formula unit: 0.00


6.
Computed, not measured: a relaxed structure of DyYCdRh at the PBE level of DFT.

Unit cell a=3.5137 b=3.5137 c=7.5511 alpha=90.00 beta=90.00 gamma=90.00
Last column: nearest neighbours and their distance in Å.
Element x y z (fractional)
Dy  0.0000  0.0000  0.0000  4 Rh 2.96, 4 Cd 3.27, 1 Y 3.29
Y  0.0000  0.0000  0.5649  4 Rh 3.00, 4 Cd 3.27, 1 Dy 3.29
Cd  0.5000  0.5000  0.2823  4 Dy 3.27, 4 Y 3.27, 4 Cd 3.51
Rh  0.5000  0.5000  0.7864  4 Dy 2.96, 4 Y 3.00

Energy relative to the lowest polymorph listed for this composition, kcal/mol of atoms: 0.00
Formation energy, meV/atom: -615
Symmetry: P4mm
Total magnetic moment, μB per formula unit: 0.00


7.
Computed, not measured: a relaxed structure of Dy2Zn2CdRh5 at the PBE level of DFT.

Unit cell a=9.6139 b=9.6139 c=3.7306 alpha=90.00 beta=90.00 gamma=90.00
Last column: nearest neighbours and their distance in Å.
Element x y z (fractional)
Dy  0.1754  0.3246  0.0000  3 Zn 2.75-2.91, 2 Rh 3.03
Dy  0.3246  0.8246  0.0000  3 Zn 2.75-2.91, 2 Rh 3.03
Dy  0.6754  0.1754  0.0000  3 Zn 2.75-2.91, 2 Rh 3.03
Dy  0.8246  0.6754  0.0000  3 Zn 2.75-2.91, 2 Rh 3.03
Zn  0.1223  0.6223  0.0000  6 Rh 2.50-2.53, 1 Dy 2.75
Zn  0.3777  0.1223  0.0000  6 Rh 2.50-2.53, 1 Dy 2.75
Zn  0.6223  0.8777  0.0000  6 Rh 2.50-2.53, 1 Dy 2.75
Zn  0.8777  0.3777  0.0000  6 Rh 2.50-2.53, 1 Dy 2.75
Cd  0.0000  0.0000  0.0000  8 Rh 2.81
Cd  0.5000  0.5000  0.0000  8 Rh 2.81
Rh  0.0000  0.5000  0.5000  4 Zn 2.50
Rh  0.0707  0.7926  0.5000  2 Zn 2.53, 2 Cd 2.81
Rh  0.2074  0.0707  0.5000  2 Zn 2.53, 2 Cd 2.81
Rh  0.2926  0.5707  0.5000  2 Zn 2.53, 2 Cd 2.81
Rh  0.4293  0.2926  0.5000  2 Zn 2.53, 2 Cd 2.81
Rh  0.5000  0.0000  0.5000  4 Zn 2.50
Rh  0.5707  0.7074  0.5000  2 Zn 2.53, 2 Cd 2.81
Rh  0.7074  0.4293  0.5000  2 Zn 2.53, 2 Cd 2.81
Rh  0.7926  0.9293  0.5000  2 Zn 2.53, 2 Cd 2.81
Rh  0.9293  0.2074  0.5000  2 Zn 2.53, 2 Cd 2.81

Formation energy, meV/atom: -529
Symmetry: P4/mbm
Total magnetic moment, μB per formula unit: 0.00


8.
Computed, not measured: a relaxed structure of Dy2Cd2Ru at the PBE level of DFT.

Unit cell a=10.1286 b=10.1286 c=10.1286 alpha=160.57 beta=160.57 gamma=27.61
Last column: nearest neighbours and their distance in Å.
Element x y z (fractional)
Dy  0.0843  0.0843  0.0000  4 Ru 2.93
Dy  0.9157  0.9157  0.0000  4 Ru 2.93
Cd  0.2972  0.2972  0.0000  4 Cd 3.05, 4 Dy 3.36
Cd  0.7028  0.7028  0.0000  4 Cd 3.05, 4 Dy 3.36
Ru  0.5000  0.5000  0.0000  8 Dy 2.93

Formation energy, meV/atom: -355
Symmetry: I4/mmm
Total magnetic moment, μB per formula unit: 0.00


9.
Computed, not measured: a relaxed structure of Dy6CdRu2 at the PBE level of DFT.

Unit cell a=8.4747 b=8.4747 c=8.4747 alpha=112.95 beta=112.04 gamma=103.58
Last column: nearest neighbours and their distance in Å.
Element x y z (fractional)
Dy  0.0378  0.2406  0.7973  1 Ru 2.77
Dy  0.1828  0.2855  0.4683  3 Ru 2.97-2.98, 1 Cd 3.18
Dy  0.1828  0.7145  0.8973  3 Ru 2.97-2.98, 1 Cd 3.18
Dy  0.3287  0.0154  0.6866  3 Ru 2.74-3.02
Dy  0.3287  0.6421  0.3134  3 Ru 2.74-3.02
Dy  0.4433  0.2406  0.2027  1 Ru 2.77
Dy  0.5567  0.7594  0.7973  1 Ru 2.77
Dy  0.6713  0.3579  0.6866  3 Ru 2.74-3.02
Dy  0.6713  0.9846  0.3134  3 Ru 2.74-3.02
Dy  0.8172  0.2855  0.1027  3 Ru 2.97-2.98, 1 Cd 3.18
Dy  0.8172  0.7145  0.5317  3 Ru 2.97-2.98, 1 Cd 3.18
Dy  0.9622  0.7594  0.2027  1 Ru 2.77
Cd  0.0000  0.0000  0.0000  2 Ru 3.06, 8 Dy 3.17-3.18
Cd  0.5000  0.5000  0.0000  12 Dy 3.33-3.61
Ru  0.1271  0.6271  0.5000  1 Ru 2.66, 6 Dy 2.74-2.97
Ru  0.3227  0.0000  0.3227  8 Dy 2.77-3.02, 1 Cd 3.06
Ru  0.6773  0.0000  0.6773  8 Dy 2.77-3.02, 1 Cd 3.06
Ru  0.8729  0.3729  0.5000  1 Ru 2.66, 6 Dy 2.74-2.97

Energy relative to the lowest polymorph listed for this composition, kcal/mol of atoms: 0.00
Formation energy, meV/atom: -325
Symmetry: Immm
Total magnetic moment, μB per formula unit: 0.00


10.
Computed, not measured: a relaxed structure of Dy5CdRu4 at the PBE level of DFT.

Unit cell a=3.4133 b=3.4133 c=18.0630 alpha=90.00 beta=90.00 gamma=90.00
Last column: nearest neighbours and their distance in Å.
Element x y z (fractional)
Dy  0.0000  0.0000  0.0000  8 Ru 2.96
Dy  0.0000  0.0000  0.1868  8 Ru 2.93-3.01
Dy  0.0000  0.0000  0.3737  4 Ru 2.88
Dy  0.0000  0.0000  0.6263  4 Ru 2.88
Dy  0.0000  0.0000  0.8132  8 Ru 2.93-3.01
Cd  0.5000  0.5000  0.5000  8 Dy 3.32, 4 Cd 3.41
Ru  0.5000  0.5000  0.0946  8 Dy 2.93-2.96
Ru  0.5000  0.5000  0.2863  8 Dy 2.88-3.01
Ru  0.5000  0.5000  0.7137  8 Dy 2.88-3.01
Ru  0.5000  0.5000  0.9054  8 Dy 2.93-2.96

Formation energy, meV/atom: -368
Symmetry: P4/mmm
Total magnetic moment, μB per formula unit: 0.00